Entry 1:
Compound: LaAlZn2Ag4
Source: Alexandria via LeMat-Bulk
Functional: GGA-PBE
Structure: relaxed

Calculated values
Total magnetization: 0.0 μB per cell
Density: 7.6 g/cm³
ΔH_f (0 K): -0.134 eV/atom

Cell lengths 4.5286, 4.5286, 9.3603 Å; angles 76.00, 76.00, 60.00 degrees
Fractional positions:
La 0.0000 0.0000 0.0000
Al 0.5000 0.5000 0.5000
Zn 0.7539 0.7539 0.7384
Zn 0.2461 0.2461 0.2616
Ag 0.4029 0.4029 0.7912
Ag 0.8661 0.8661 0.4018
Ag 0.1339 0.1339 0.5982
Ag 0.5971 0.5971 0.2088



Entry 2:
Compound: LaAlZnAg3
Source: Alexandria via LeMat-Bulk
Functional: GGA-PBE
Structure: relaxed

Calculated values
Total magnetization: 0.0 μB per cell
Density: 7.0 g/cm³
ΔH_f (0 K): -0.113 eV/atom

Cell lengths 6.3907, 6.5735, 7.0433 Å; angles 117.82, 90.00, 90.00 degrees
Fractional positions:
La 0.7500 0.2881 0.5762
La 0.2500 0.7119 0.4238
Al 0.2500 0.3688 0.7376
Al 0.7500 0.6312 0.2624
Zn 0.2500 0.9476 0.8953
Zn 0.7500 0.0524 0.1047
Ag 0.2500 0.1613 0.3225
Ag 0.0000 0.2885 0.0000
Ag 0.5000 0.7115 0.0000
Ag 0.5000 0.2885 0.0000
Ag 0.0000 0.7115 0.0000
Ag 0.7500 0.8387 0.6775



Entry 3:
Compound: LaAlZn3Ag
Source: Alexandria via LeMat-Bulk
Functional: GGA-PBE
Structure: relaxed

Calculated values
Total magnetization: 0.0 μB per cell
Density: 6.3 g/cm³
ΔH_f (0 K): -0.080 eV/atom

Cell lengths 5.9675, 6.2879, 7.3146 Å; angles 115.46, 90.00, 90.00 degrees
Fractional positions:
La 0.7500 0.2962 0.5924
La 0.2500 0.7038 0.4076
Al 0.2500 0.9302 0.8604
Al 0.7500 0.0698 0.1396
Zn 0.2500 0.1308 0.2616
Zn 0.0000 0.3019 0.0000
Zn 0.5000 0.6981 0.0000
Zn 0.5000 0.3019 0.0000
Zn 0.0000 0.6981 0.0000
Zn 0.7500 0.8692 0.7384
Ag 0.2500 0.3419 0.6838
Ag 0.7500 0.6581 0.3162



Entry 4:
Compound: LaZrAl2Ag
Source: Alexandria via LeMat-Bulk
Functional: GGA-PBE
Structure: relaxed

Calculated values
Total magnetization: 0.0 μB per cell
Density: 5.2 g/cm³
ΔH_f (0 K): 0.264 eV/atom

Cell lengths 4.8241, 5.3970, 4.8241 Å; angles 90.00, 90.00, 90.00 degrees
Fractional positions:
Al 0.0000 0.0000 0.5000
Al 0.5000 0.0000 0.0000
Zr 0.0000 0.5000 0.0000
Ag 0.0000 0.0000 0.0000
La 0.5000 0.5000 0.5000